# 1
Entry from Alexandria: a relaxed structure of CoSiAg (PBE).

Cell lengths 2.8095, 2.8095, 6.2026 Å; angles 90.00, 90.00, 120.00 degrees
Last column: magnetic moment on the atom in μB.
Positions (direct):
Co 0.3333 0.6667 0.3687  1.00
Ag 0.0000 0.0000 0.0016  0.02
Si 0.6667 0.3333 0.6298  0.00

Summary:
energy above the lowest structure with this stoichiometry: 123 meV per atom
E_tot: -14.97 eV per formula unit
symmetry: No. 156
ΔE_f (raw): 0.41 eV/f.u.


# 2
Entry from Alexandria: a relaxed structure of NaGe3Pb (PBE).

Cell lengths 5.1166, 5.1166, 5.1166 Å; angles 90.00, 90.00, 90.00 degrees
Positions (direct):
Ge 0.0000 0.0000 0.5000
Ge 0.5000 0.0000 0.0000
Pb 0.5000 0.5000 0.5000
Ge 0.0000 0.5000 0.0000
Na 0.0000 0.0000 0.0000

Summary:
energy above the lowest structure with this stoichiometry: 17 meV per atom
E_tot: -14.89 eV per formula unit
symmetry: No. 221